[1]
BeWBr2, relaxed, DFT PBE; space group = I-42d (122); raw total energy = -30.432 eV/cell
1.0
-3.868 3.382 -2.243
-2.425 0.557 5.024
-0.234 5.942 2.356
Be Br W
2 4 2
Direct
0.500 0.500 0.000
0.250 0.750 0.500
0.176 0.625 0.250
0.375 0.426 0.750
0.875 0.824 0.750
0.574 0.125 0.250
0.000 0.000 0.000
0.750 0.250 0.500

***

[2]
BeW2Br, relaxed, DFT PBE; space group = F-43m (216); raw total energy = -26.714 eV/cell
1.0
-1.286 2.908 3.132
-3.756 2.350 -0.544
-3.569 -0.880 2.532
Be W Br
1 2 1
Direct
0.500 0.500 0.500
0.000 0.000 0.000
0.250 0.250 0.250
0.750 0.750 0.750

***

[3]
BeWBr3, relaxed, DFT PBE; space group = Pm-3m (221); raw total energy = -17.673 eV/cell
1.0
5.243 0.000 0.000
0.000 5.243 0.000
0.000 0.000 5.243
Br W Be
3 1 1
Direct
0.000 0.000 0.500
0.000 0.500 0.000
0.500 0.000 0.000
0.000 0.000 0.000
0.500 0.500 0.500

***

[4]
BeWBr2, relaxed, DFT PBE; space group = P4/mmm (123); raw total energy = -14.685 eV/cell
1.0
-2.987 0.302 0.480
0.234 -3.189 3.464
0.848 3.441 3.110
Br Be W
2 1 1
Direct
0.000 0.500 0.500
0.000 0.000 0.000
0.500 0.000 0.500
0.500 0.500 0.000

***

[5]
BeW2Br, relaxed, DFT PBE; space group = P4/mmm (123); raw total energy = -28.422 eV/cell
1.0
-0.317 -0.289 -3.051
3.047 -0.354 -0.285
-0.709 -6.671 0.705
Br W Be
1 2 1
Direct
0.500 0.500 0.750
0.000 0.000 0.071
0.000 0.000 0.429
0.500 0.500 0.250

***

[6]
BeW2Br, relaxed, DFT PBE; space group = P2/m (10); raw total energy = -27.985 eV/cell
1.0
3.979 0.000 0.000
0.000 3.251 -0.083
0.000 -0.710 6.210
W Be Br
2 1 1
Direct
0.000 0.951 0.105
0.000 0.549 0.395
0.500 0.250 0.250
0.500 0.750 0.750

***

[7]
BeWBr2, relaxed, DFT PBE; space group = R-3m (166); raw total energy = -16.464 eV/cell
1.0
9.827 0.023 0.014
9.307 3.153 0.014
9.307 1.545 2.749
Br Be W
2 1 1
Direct
0.518 0.518 0.518
0.982 0.982 0.982
0.750 0.750 0.750
0.250 0.250 0.250

***

[8]
BeWBr2, relaxed, DFT PBE; space group = Cmmm (65); raw total energy = -15.971 eV/cell
1.0
3.278 -0.009 0.000
-1.875 2.689 0.000
0.000 0.000 10.206
W Be Br
1 1 2
Direct
0.500 0.500 0.250
0.500 0.500 0.750
0.000 0.000 0.044
0.000 0.000 0.456

***

[9]
BeWBr2, relaxed, DFT PBE; space group = Pmmm (47); raw total energy = -15.228 eV/cell
1.0
-1.276 2.744 -0.424
-2.744 -1.981 -4.558
-3.334 -1.162 2.512
Be W Br
1 1 2
Direct
0.000 0.500 0.500
0.500 0.000 0.500
0.500 0.500 0.000
0.000 0.000 0.000

***

[10]
BeW2Br, relaxed, DFT PBE; space group = Pm (6); raw total energy = -29.522 eV/cell
1.0
-1.623 2.426 -0.964
-2.652 -1.909 -0.340
-3.278 0.644 7.137
W Br Be
2 1 1
Direct
0.500 0.189 0.255
0.000 0.779 0.063
0.500 0.905 0.794
0.000 0.627 0.388

***

[11]
BeWBr2, relaxed, DFT PBE; space group = Cm (8); raw total energy = -18.425 eV/cell
1.0
-1.209 3.596 2.183
-0.094 1.442 4.132
7.073 3.972 0.343
W Br Be
1 2 1
Direct
0.436 0.436 0.405
0.853 0.853 0.655
0.028 0.028 0.126
0.183 0.183 0.314

***

[12]
BeWBr2, relaxed, DFT PBE; space group = C2/m (12); raw total energy = -15.314 eV/cell
1.0
-1.028 -1.692 -5.256
1.295 -3.523 4.333
-2.969 -0.650 -0.433
Br W Be
2 1 1
Direct
0.000 0.000 0.000
0.000 0.500 0.500
0.500 0.500 0.000
0.500 0.000 0.500

***

[13]
BeW2Br, relaxed, DFT PBE; space group = I-42d (122); raw total energy = -53.478 eV/cell
1.0
3.872 0.000 0.000
0.000 3.872 0.000
1.936 1.936 9.039
W Br Be
4 2 2
Direct
0.375 0.413 0.750
0.163 0.625 0.250
0.587 0.125 0.250
0.875 0.837 0.750
0.750 0.250 0.500
0.000 0.000 0.000
0.500 0.500 0.000
0.250 0.750 0.500

***

[14]
BeWBr2, relaxed, DFT PBE; space group = Immm (71); raw total energy = -18.930 eV/cell
1.0
8.085 0.001 0.022
7.413 3.225 0.022
0.754 0.157 3.427
Be Br W
1 2 1
Direct
0.250 0.250 0.250
0.116 0.116 0.884
0.384 0.384 0.616
0.750 0.750 0.750

***

[15]
BeWBr2, relaxed, DFT PBE; space group = R-3m (166); raw total energy = -17.362 eV/cell
1.0
-2.563 7.551 1.796
0.323 7.539 3.140
0.016 8.173 0.035
W Be Br
1 1 2
Direct
0.000 0.000 0.000
0.500 0.500 0.500
0.894 0.894 0.894
0.106 0.106 0.106

***

[16]
BeW2Br, relaxed, DFT PBE; space group = Fm-3m (225); raw total energy = -26.592 eV/cell
1.0
0.783 -3.459 -2.498
-0.527 -3.996 1.602
-3.289 -2.471 -1.375
Be W Br
1 2 1
Direct
0.000 0.000 0.000
0.750 0.750 0.750
0.250 0.250 0.250
0.500 0.500 0.500

***

[17]
BeW2Br, relaxed, DFT PBE; space group = Cm (8); raw total energy = -28.425 eV/cell
1.0
-1.816 -1.034 3.867
-1.015 -3.598 2.311
5.084 -0.535 3.500
W Be Br
2 1 1
Direct
0.970 0.970 0.903
0.713 0.713 0.725
0.453 0.453 0.598
0.364 0.364 0.274

***

[18]
YBe2WBr, relaxed, DFT PBE; space group = P4/mmm (123); raw total energy = -17.383 eV/cell
1.0
4.800 0.000 0.000
0.000 5.088 0.000
0.000 0.000 4.800
Be Y W Br
2 1 1 1
Direct
0.000 0.000 0.500
0.500 0.000 0.000
0.000 0.000 0.000
0.500 0.500 0.500
0.000 0.500 0.000

***

[19]
Y2BeBr, relaxed, DFT PBE; space group = F-43m (216); raw total energy = -16.183 eV/cell
1.0
5.138 0.000 0.000
2.569 4.450 0.000
2.569 1.483 4.195
Y Be Br
2 1 1
Direct
0.250 0.250 0.250
0.000 0.000 0.000
0.500 0.500 0.500
0.750 0.750 0.750

***

[20]
Y2BeBr, relaxed, DFT PBE; space group = Imm2 (44); raw total energy = -19.671 eV/cell
1.0
7.922 0.001 -0.005
6.221 4.905 0.005
-7.031 -2.571 2.592
Br Y Be
1 2 1
Direct
0.202 0.702 0.500
0.027 0.027 0.000
0.817 0.317 0.500
0.453 0.453 0.000

***

[21]
YBeBr2, relaxed, DFT PBE; space group = Fm-3m (225); raw total energy = -14.450 eV/cell
1.0
-2.861 -3.864 1.587
-3.637 -1.854 -2.994
0.537 -4.577 -2.098
Br Be Y
2 1 1
Direct
0.250 0.250 0.250
0.750 0.750 0.750
0.000 0.000 0.000
0.500 0.500 0.500

***

[22]
Y2BeBr, relaxed, DFT PBE; space group = Immm (71); raw total energy = -18.991 eV/cell
1.0
0.018 4.656 -2.300
-0.564 -2.030 -4.746
-3.129 -0.409 4.124
Be Y Br
1 2 1
Direct
0.750 0.250 0.500
0.000 0.000 0.000
0.500 0.500 0.000
0.250 0.750 0.500

***

[23]
Y2BeBr, relaxed, DFT PBE; space group = P4mm (99); raw total energy = -18.767 eV/cell
1.0
3.536 0.000 0.000
0.000 3.536 0.000
0.000 0.000 9.555
Y Br Be
2 1 1
Direct
0.000 0.000 0.996
0.500 0.500 0.271
0.500 0.500 0.813
0.000 0.000 0.420

***

[24]
YBeBr, relaxed, DFT PBE; space group = F-43m (216); raw total energy = -11.070 eV/cell
1.0
4.689 0.000 0.000
2.344 4.061 0.000
2.344 1.354 3.828
Br Be Y
1 1 1
Direct
0.250 0.250 0.250
0.500 0.500 0.500
0.000 0.000 0.000

***

[25]
YBeBr2, relaxed, DFT PBE; space group = P2/m (10); raw total energy = -14.529 eV/cell
1.0
4.694 0.000 0.000
0.000 3.926 0.001
0.000 0.061 5.694
Br Be Y
2 1 1
Direct
0.000 0.024 0.001
0.000 0.476 0.499
0.500 0.750 0.750
0.500 0.250 0.250

***

[26]
YBeBr2, relaxed, DFT PBE; space group = Imm2 (44); raw total energy = -15.118 eV/cell
1.0
-5.882 -3.100 3.123
-3.241 -6.485 -1.189
5.788 4.173 1.748
Br Be Y
2 1 1
Direct
0.319 0.819 0.500
0.025 0.025 0.000
0.665 0.165 0.500
0.491 0.491 0.000

***

[27]
Y4BeBr, relaxed, DFT PBE; space group = F-43m (216); raw total energy = -27.376 eV/cell
1.0
3.237 -4.982 -2.292
-2.767 -5.727 -0.305
-1.562 -2.485 -5.652
Br Y Be
1 4 1
Direct
0.000 0.000 0.000
0.870 0.377 0.377
0.377 0.377 0.870
0.377 0.870 0.377
0.377 0.377 0.377
0.750 0.750 0.750

***

[28]
YBeBr, relaxed, DFT PBE; space group = I4mm (107); raw total energy = -12.219 eV/cell
1.0
6.505 0.019 -0.020
5.520 3.441 -0.021
0.985 0.284 3.411
Br Be Y
1 1 1
Direct
0.304 0.304 0.696
0.037 0.037 0.963
0.658 0.658 0.342

***

[29]
YBeBr2, relaxed, DFT PBE; space group = P4mm (99); raw total energy = -15.812 eV/cell
1.0
3.456 0.000 0.000
0.000 3.456 0.000
0.000 0.000 8.596
Be Br Y
1 2 1
Direct
0.500 0.500 0.755
0.000 0.000 0.880
0.500 0.500 0.327
0.000 0.000 0.538

***

[30]
YBeBr2, relaxed, DFT PBE; space group = R3m (160); raw total energy = -16.080 eV/cell
1.0
-7.053 -3.123 5.776
-7.364 -5.454 2.981
-4.921 -6.085 5.622
Br Be Y
2 1 1
Direct
0.966 0.966 0.966
0.772 0.772 0.772
0.254 0.254 0.254
0.508 0.508 0.508